A plane-wave DFT calculation with GGA-PBE was carried out for SmMgAg4 after structural relaxation.

POSCAR file:
```
SmMgAg4
1.0
2.810 1.623 4.581
-2.810 1.623 4.581
0.000 -3.245 4.581
Ag Mg Sm
4 1 1
direct
0.877 0.374 0.374
0.374 0.877 0.374
0.374 0.374 0.374
0.374 0.374 0.877
0.001 0.001 0.001
0.750 0.750 0.750
```

Summary:
Total moment ... 0.0003 μB per atom
Calculated volume ... 125.3 Å³/f.u.
Energy ... -3.150 eV per atom